Below is crystalline LiGaN2F at its relaxed geometry, with properties calculated at the PBE-GGA level.

a = 4.0106 Å, b = 4.0106 Å, c = 3.3729 Å
α = 90.00°, β = 90.00°, γ = 90.00°
Fractional positions:
Li 0.0000 0.0000 0.0000
Ga 0.5000 0.5000 0.5000
N 0.0000 0.5000 0.0000
N 0.5000 0.0000 0.0000
F 0.0000 0.0000 0.5000

E: -3.96 eV/atom
symmetry: P4/mmm, No. 123